{
  "formula": "YHoRu",
  "functional": "GGA-PBE",
  "state": "optimized geometry",
  "density_g_cm3": 7.79,
  "e_form_ev_per_fu": -0.766,
  "e_tot_ev_per_atom": -7.028,
  "de_polymorph_ev_per_atom": 0.021,
  "lattice": [[10.0326, 0.0000, 0.0000], [0.0000, 4.7031, 0.0000], [0.0000, 0.0000, 6.4168]],
  "species": ["Y", "Y", "Y", "Y", "Ho", "Ho", "Ho", "Ho", "Ru", "Ru", "Ru", "Ru"],
  "frac_coords": [[0.0421, 0.2500, 0.1919], [0.4579, 0.7500, 0.6919], [0.5421, 0.2500, 0.3081], [0.9579, 0.7500, 0.8081], [0.1990, 0.2500, 0.6356], [0.3010, 0.7500, 0.1356], [0.6990, 0.2500, 0.8644], [0.8010, 0.7500, 0.3644], [0.0999, 0.7500, 0.4228], [0.4001, 0.2500, 0.9228], [0.5999, 0.7500, 0.0772], [0.9001, 0.2500, 0.5772]]
}